Computed, not measured: a relaxed FeAg3F crystal at the PBE with a Hubbard U level of DFT.

The structure belongs to space group Pm-3m (No. 221); the cell edges are 4.6054, 4.6054 and 4.6054 Å and the angles 90.00°, 90.00° and 90.00°. The inequivalent atoms are Fe at (0.0000, 0.0000, 0.0000), Ag at (0.0000, 0.5000, 0.5000) and F at (0.5000, 0.5000, 0.5000).

As for the relative energy among the computed polymorphs: 0.000 eV per atom. Its volume is 19.5 Å³ per atom.

=====

Computed, not measured: a relaxed Fe2AgF6 crystal at the PBE with a Hubbard U level of DFT.

The structure belongs to space group P-31m (No. 162); the cell edges are 5.4722, 5.4722 and 5.1314 Å and the angles 90.00°, 90.00° and 120.00°. The inequivalent atoms are Fe at (0.3333, 0.6667, 0.0000), Ag at (0.0000, 0.0000, 0.5000) and F at (0.0000, 0.3691, 0.2054).

As for the relative energy among the computed polymorphs: 0.000 eV per atom. Its volume is 14.8 Å³ per atom.

=====

Computed, not measured: a relaxed FeAg2F crystal at the PBE with a Hubbard U level of DFT.

The structure belongs to space group I-42d (No. 122); the cell edges are 7.1839, 7.1839 and 5.3109 Å and the angles 90.00°, 90.00° and 90.00°. The inequivalent atoms are Fe at (0.0000, 0.0000, 0.0000), Ag at (0.2191, 0.2500, 0.6250) and F at (0.0000, 0.0000, 0.5000).

As for the relative energy among the computed polymorphs: 0.000 eV per atom. Its volume is 17.1 Å³ per atom.

=====

Computed, not measured: a relaxed FeAg3F7 crystal at the PBE with a Hubbard U level of DFT.

The structure belongs to space group Cm (No. 8); the cell edges are 8.0617, 7.6947 and 6.0110 Å and the angles 90.00°, 117.68° and 90.00°. The inequivalent atoms are Fe at (0.0000, 0.0000, 0.0000), Ag at (0.9995, 0.5000, 0.9891), Ag at (0.4744, 0.2694, 0.4784), F at (0.0121, 0.5000, 0.5930), F at (0.1309, 0.1907, 0.2402), F at (0.1801, 0.0000, 0.8706), F at (0.3364, 0.5000, 0.1785) and F at (0.3611, 0.3162, 0.7640).

The value obtained for the total energy is -88.7 eV for the cell shown. Its volume is 15.0 Å³ per atom.

=====

Computed, not measured: a relaxed FeAg3F crystal at the PBE with a Hubbard U level of DFT.

The structure belongs to space group Pm-3m (No. 221); the cell edges are 4.9631, 4.9631 and 4.9631 Å and the angles 90.00°, 90.00° and 90.00°. The inequivalent atoms are Fe at (0.0000, 0.0000, 0.0000), Ag at (0.0000, 0.0000, 0.5000) and F at (0.5000, 0.5000, 0.5000).

As for the relative energy among the computed polymorphs: 0.307 eV per atom. Its volume is 24.5 Å³ per atom.

=====

Computed, not measured: a relaxed Fe3Ag5F12 crystal at the PBE with a Hubbard U level of DFT.

The structure belongs to space group P-62m (No. 189); the cell edges are 10.2433, 10.2433 and 3.1857 Å and the angles 90.00°, 90.00° and 120.00°. The inequivalent atoms are Fe at (0.0000, 0.3397, 0.0000), Ag at (0.0000, 0.7203, 0.5000), Ag at (0.3333, 0.6667, 0.5000), F at (0.0000, 0.2050, 0.5000), F at (0.0000, 0.4699, 0.5000) and F at (0.2184, 0.7756, 0.0000).

The value obtained for the total energy is -87.6 eV for the cell shown. Its volume is 14.5 Å³ per atom.

=====

Computed, not measured: a relaxed FeAgF3 crystal at the PBE with a Hubbard U level of DFT.

The structure belongs to space group Ama2 (No. 40); the cell edges are 4.1954, 17.1657 and 4.0435 Å and the angles 90.00°, 90.00° and 90.00°. The inequivalent atoms are Fe at (0.2500, 0.0713, 0.0000), Ag at (0.2500, 0.3253, 0.9976), F at (0.2500, 0.0779, 0.5002), F at (0.2500, 0.1925, 0.0009) and F at (0.2500, 0.4434, 0.5006).

The value obtained for the total energy is -92.6 eV for the cell shown. Its volume is 14.6 Å³ per atom.

=====

Computed, not measured: a relaxed Fe3AgF crystal at the PBE with a Hubbard U level of DFT.

The structure belongs to space group Pm-3m (No. 221); the cell edges are 4.2710, 4.2710 and 4.2710 Å and the angles 90.00°, 90.00° and 90.00°. The inequivalent atoms are Fe at (0.0000, 0.0000, 0.5000), Ag at (0.5000, 0.5000, 0.5000) and F at (0.0000, 0.0000, 0.0000).

As for the relative energy among the computed polymorphs: 0.000 eV per atom. Its volume is 15.6 Å³ per atom.

=====

Computed, not measured: a relaxed FeAgF2 crystal at the PBE with a Hubbard U level of DFT.

The structure belongs to space group R-3m (No. 166, hexagonal axes); the cell edges are 3.0345, 3.0345 and 26.5254 Å and the angles 90.00°, 90.00° and 120.00°. The inequivalent atoms are Fe at (0.0000, 0.0000, 0.0000), Ag at (0.0000, 0.0000, 0.5000) and F at (0.0000, 0.0000, 0.3757).

As for the relative energy among the computed polymorphs: 0.000 eV per atom. Its volume is 17.6 Å³ per atom.

=====

Computed, not measured: a relaxed FeAg4F8 crystal at the PBE with a Hubbard U level of DFT.

The structure belongs to space group C2/m (No. 12); the cell edges are 11.3395, 7.1687 and 7.0059 Å and the angles 90.00°, 125.42° and 90.00°. The inequivalent atoms are Fe at (0.0000, 0.0000, 0.0000), Ag at (0.2500, 0.2500, 0.0000), Ag at (0.2500, 0.2500, 0.5000), F at (0.0076, 0.1932, 0.8102), F at (0.2148, 0.0000, 0.2100) and F at (0.2472, 0.5000, 0.3117).

The value obtained for the total energy is -101.8 eV for the cell shown. Its volume is 17.8 Å³ per atom.

=====

Computed, not measured: a relaxed FeAg4F7 crystal at the PBE with a Hubbard U level of DFT.

The structure belongs to space group C2/m (No. 12); the cell edges are 16.8700, 3.8946 and 6.7170 Å and the angles 90.00°, 110.34° and 90.00°. The inequivalent atoms are Fe at (0.0000, 0.0000, 0.0000), Ag at (0.0786, 0.5000, 0.6774), Ag at (0.2098, 0.5000, 0.2596), F at (0.0000, 0.5000, 0.0000), F at (0.0066, 0.0000, 0.2965), F at (0.1224, 0.0000, 0.0780) and F at (0.2016, 0.5000, 0.6283).

The value obtained for the total energy is -94.8 eV for the cell shown. Its volume is 17.2 Å³ per atom.

=====

Computed, not measured: a relaxed Fe3AgF9 crystal at the PBE with a Hubbard U level of DFT.

The structure belongs to space group P2_1/m (No. 11); the cell edges are 5.6187, 7.7030 and 8.3069 Å and the angles 90.00°, 93.11° and 90.00°. The inequivalent atoms are Fe at (0.0000, 0.0000, 0.0000), Fe at (0.4699, 0.0018, 0.6926), Ag at (0.0344, 0.2500, 0.4414), F at (0.0799, 0.2500, 0.9854), F at (0.1608, 0.5479, 0.8006), F at (0.2740, 0.5356, 0.4779), F at (0.2988, 0.5429, 0.1242), F at (0.3793, 0.2500, 0.6775) and F at (0.4443, 0.2500, 0.3028).

The value obtained for the total energy is -130.8 eV for the cell shown. Its volume is 13.8 Å³ per atom.